Density functional theory data (PBE) for a relaxed structure of LiSc2Br.

Computed properties:
Energy   -3.773 eV/atom
Offset from the most stable computed form   0.712 eV/atom
V   24.5 Å³ per atom
Energy relative to the elements, uncorrected   0.29 eV/atom
Size of the total moment   3.55 Bohr magnetons per cell

Cell lengths 5.172, 5.172, 5.172 Å; angles 60.00, 60.00, 60.00 degrees
Sites, in units of the cell vectors:
Br  0.500  0.500  0.500
Li  0.750  0.750  0.750
Sc  0.000  0.000  0.000
Sc  0.250  0.250  0.250

***

Density functional theory data (PBE) for a relaxed structure of TbHo2Tm5Zr.

Computed properties:
Energy   -4.791 eV/atom
V   30.5 Å³ per atom
Energy relative to the elements   0.175 eV/atom
Size of the total moment   0.00 Bohr magnetons per cell

Cell lengths 5.547, 11.025, 9.261 Å; angles 90.00, 90.00, 104.57 degrees
Sites, in units of the cell vectors:
Tm  0.394  0.788  0.044
Tm  0.732  0.464  0.829
Tm  0.606  0.212  0.544
Tm  0.471  0.943  0.747
Tm  0.529  0.057  0.247
Tm  0.304  0.609  0.712
Tm  0.986  0.971  0.512
Tm  0.696  0.391  0.212
Tm  0.268  0.536  0.329
Tm  0.014  0.029  0.012
Ho  0.134  0.269  0.714
Ho  0.886  0.771  0.820
Ho  0.114  0.229  0.320
Ho  0.866  0.731  0.214
Tb  0.401  0.802  0.427
Tb  0.599  0.198  0.927
Zr  0.185  0.370  0.019
Zr  0.815  0.630  0.519